This record from Alexandria via LeMat-Bulk describes an optimized crystal structure of KLiIn2Br8. The functional is GGA-PBE.

Cell: 9.8990 9.8990 9.8990 Å, 98.58 98.58 134.57°
Last column: nearest neighbours and their distance in Å.
Fractional coordinates of all 12 atoms:
In: 0.7500 0.2500 0.5000  4 Br 2.56
Br: 0.5219 0.6853 0.8366  1 In 2.54
Br: 0.3147 0.4781 0.1634  1 In 2.54
Br: 0.3147 0.1513 0.8366  1 In 2.54
Br: 0.9802 0.3359 0.3557  1 In 2.56, 1 Li 2.78
Br: 0.9802 0.6246 0.6443  1 In 2.56, 1 Li 2.78
In: 0.5000 0.5000 0.0000  4 Br 2.54
Br: 0.8487 0.6853 0.1634  1 In 2.54
Br: 0.3754 0.0198 0.3557  1 In 2.56, 1 Li 2.78
Li: 0.2500 0.7500 0.5000  4 Br 2.78
K: 0.0000 0.0000 0.0000  4 Br 3.20
Br: 0.6641 0.0198 0.6443  1 In 2.56, 1 Li 2.78

Output
Formation energy without anion corrections = -24.34 kcal/mol of atoms
Space-group type = I-4m2
Raw total energy = -34.54 eV per cell